1.
Material: SnTeN2Cl
Method: DFT, PBE
State: relaxed

a = 4.330 Å, b = 4.330 Å, c = 5.376 Å
α = 90.00°, β = 90.00°, γ = 90.00°
Each line ends with the local moment (μB).
Element x y z (fractional)
N (0.000, 0.500, 0.000)  0.81
N (0.500, 0.000, 0.000)  0.81
Sn (0.500, 0.500, 0.500)  -0.04
Cl (0.000, 0.000, 0.000)  -0.04
Te (0.000, 0.000, 0.500)  0.08

Results
Energy, eV/atom: -3.159
Symmetry: No. 123
Excess energy over the best structure of this formula in the dataset, kcal/mol of atoms: 16.73
ΔE_f (raw), eV/atom: 1.9690

=====

2.
Material: VSnNCl2
Method: DFT, PBE
State: relaxed

a = 4.410 Å, b = 5.743 Å, c = 4.410 Å
α = 90.00°, β = 90.00°, γ = 90.00°
Each line ends with the local moment (μB).
Element x y z (fractional)
Sn (0.000, 0.500, 0.000)  -0.13
Cl (0.000, 0.000, 0.500)  0.00
Cl (0.500, 0.000, 0.000)  -0.01
V (0.000, 0.000, 0.000)  0.75
N (0.500, 0.500, 0.500)  1.27

Results
Energy, eV/atom: -4.463
Symmetry: No. 123
ΔE_f (raw), eV/atom: 0.5652

=====

3.
Material: YSnN2Cl
Method: DFT, PBE
State: relaxed

a = 4.107 Å, b = 6.125 Å, c = 4.107 Å
α = 90.00°, β = 90.00°, γ = 90.00°
Element x y z (fractional)
N (0.500, 0.000, 0.000)
N (0.000, 0.000, 0.500)
Cl (0.500, 0.500, 0.500)
Y (0.000, 0.500, 0.000)
Sn (0.000, 0.000, 0.000)

Results
Energy, eV/atom: -5.149
Symmetry: No. 123
ΔE_f (raw), eV/atom: 0.6439

=====

4.
Material: Sr6N3Cl2
Method: DFT, PBE
State: relaxed

a = 6.772 Å, b = 6.772 Å, c = 7.406 Å
α = 81.23°, β = 72.24°, γ = 60.00°
Element x y z (fractional)
Sr (0.397, 0.667, 0.808)
Sr (0.065, 0.333, 0.808)
Sr (0.935, 0.667, 0.192)
Sr (0.270, 0.000, 0.192)
Sr (0.603, 0.333, 0.192)
Sr (0.730, 0.000, 0.808)
Cl (0.833, 0.333, 0.500)
Cl (0.167, 0.667, 0.500)
N (0.333, 0.334, 0.000)
N (0.000, 0.000, 0.000)
N (0.667, 0.666, 0.000)

Results
Energy, eV/atom: -4.689
Symmetry: No. 12
ΔE_f (raw), eV/atom: -1.1649